No. 1
First-principles (PBE-GGA) data for a geometry-optimized TbCeHg4 structure, as listed in Alexandria.

Values from the calculation:
- Formation energy from the elements: -1.2 eV/f.u.
- Volume: 25.4 A^3/atom

abc: 5.998 5.998 5.998
angles: 60.00 60.00 60.00
Element x y z (fractional)
Tb1 0.000 0.000 0.000
Ce1 0.250 0.250 0.250
Hg1 0.125 0.625 0.625
Hg2 0.625 0.125 0.625
Hg3 0.625 0.625 0.125
Hg4 0.625 0.625 0.625

No. 2
First-principles (PBE-GGA) data for a geometry-optimized Ce4Ge4Ir structure, as listed in Alexandria.

Values from the calculation:
- Formation energy from the elements: -3.8 eV/f.u.
- Volume: 24.8 A^3/atom

abc: 6.816 6.816 6.816
angles: 100.89 100.89 128.46
Element x y z (fractional)
Ce1 0.077 0.718 0.795
Ce2 0.282 0.077 0.360
Ce3 0.718 0.923 0.640
Ce4 0.923 0.282 0.205
Ge1 0.224 0.413 0.637
Ge2 0.413 0.776 0.188
Ge3 0.587 0.224 0.812
Ge4 0.776 0.587 0.363
Ir1 0.500 0.500 0.000

No. 3
First-principles (PBE-GGA) data for a geometry-optimized Al2Pt9Au structure, as listed in Alexandria.

Values from the calculation:
- Formation energy from the elements: -5.3 eV/f.u.
- Volume: 15.5 A^3/atom

abc: 3.944 3.944 11.935
angles: 90.00 90.00 90.00
Element x y z (fractional)
Al1 0.000 0.000 0.168
Al2 0.000 0.000 0.832
Pt1 0.000 0.500 0.000
Pt2 0.000 0.500 0.323
Pt3 0.000 0.500 0.677
Pt4 0.500 0.000 0.000
Pt5 0.500 0.000 0.323
Pt6 0.500 0.000 0.677
Pt7 0.500 0.500 0.160
Pt8 0.500 0.500 0.500
Pt9 0.500 0.500 0.840
Au1 0.000 0.000 0.500

No. 4
First-principles (PBE-GGA) data for a geometry-optimized EuTl2Pt structure, as listed in Alexandria.

Values from the calculation:
- Formation energy from the elements: -1.2 eV/f.u.
- Volume: 23.6 A^3/atom

abc: 5.108 5.108 5.108
angles: 60.00 60.00 60.00
Element x y z (fractional)
Eu1 0.000 0.000 0.000
Tl1 0.250 0.250 0.250
Tl2 0.750 0.750 0.750
Pt1 0.500 0.500 0.500

No. 5
First-principles (PBE-GGA) data for a geometry-optimized K2Ta structure, as listed in Alexandria.

Values from the calculation:
- Formation energy from the elements: 2.1 eV/f.u.
- Volume: 43.5 A^3/atom

abc: 18.606 18.606 4.250
angles: 90.00 90.00 169.78
Element x y z (fractional)
K1 0.053 0.947 0.750
K2 0.337 0.663 0.750
K3 0.663 0.337 0.250
K4 0.947 0.053 0.250
Ta1 0.254 0.746 0.250
Ta2 0.746 0.254 0.750

No. 6
First-principles (PBE-GGA) data for a geometry-optimized Li3Ac2PaS6 structure, as listed in Alexandria.

Values from the calculation:
- Volume: 23.8 A^3/atom
- Energy relative to the elements, uncorrected: -158.2 kJ per mole of atoms

abc: 7.334 7.334 6.605
angles: 98.99 98.99 121.96
Element x y z (fractional)
Li1 0.000 0.000 0.000
Li2 0.373 0.627 0.000
Li3 0.627 0.373 0.000
Ac1 0.171 0.829 0.500
Ac2 0.829 0.171 0.500
Pa1 0.500 0.500 0.500
S1 0.120 0.421 0.238
S2 0.258 0.258 0.752
S3 0.421 0.120 0.238
S4 0.579 0.880 0.762
S5 0.742 0.742 0.248
S6 0.880 0.579 0.762

No. 7
First-principles (PBE-GGA) data for a geometry-optimized PrTh2Fe structure, as listed in Alexandria.

Values from the calculation:
- Formation energy from the elements: 0.1 eV/f.u.
- Volume: 29.5 A^3/atom

abc: 9.284 9.284 9.284
angles: 24.17 24.17 24.17
Element x y z (fractional)
Pr1 0.000 0.000 0.000
Th1 0.223 0.223 0.223
Th2 0.445 0.445 0.445
Fe1 0.835 0.835 0.835

No. 8
First-principles (PBE-GGA) data for a geometry-optimized La3Pr2Dy8 structure, as listed in Alexandria.

Values from the calculation:
- Formation energy from the elements: 0.3 eV/f.u.
- Volume: 33.5 A^3/atom

abc: 6.264 6.285 11.420
angles: 89.86 79.33 80.30
Element x y z (fractional)
La1 0.000 0.000 0.000
La2 0.228 0.462 0.078
La3 0.772 0.538 0.922
Pr1 0.384 0.769 0.462
Pr2 0.616 0.231 0.538
Dy1 0.077 0.152 0.690
Dy2 0.153 0.307 0.385
Dy3 0.308 0.614 0.766
Dy4 0.463 0.925 0.157
Dy5 0.537 0.075 0.843
Dy6 0.692 0.386 0.234
Dy7 0.847 0.693 0.615
Dy8 0.923 0.848 0.310

No. 9
First-principles (PBE-GGA) data for a geometry-optimized FeMo2P2 structure, as listed in Alexandria.

Values from the calculation:
- Formation energy from the elements: -1.7 eV/f.u.
- Volume: 12.8 A^3/atom

abc: 5.725 5.725 3.908
angles: 90.00 90.00 90.00
Element x y z (fractional)
Fe1 0.000 0.000 0.000
Fe2 0.500 0.500 0.000
Mo1 0.180 0.320 0.500
Mo2 0.320 0.820 0.500
Mo3 0.680 0.180 0.500
Mo4 0.820 0.680 0.500
P1 0.139 0.639 0.000
P2 0.361 0.139 0.000
P3 0.639 0.861 0.000
P4 0.861 0.361 0.000

No. 10
First-principles (PBE-GGA) data for a geometry-optimized CaPdSCl2 structure, as listed in Alexandria.

Values from the calculation:
- Volume: 22.7 A^3/atom
- Energy relative to the elements, uncorrected: -91.5 kJ per mole of atoms

abc: 4.804 4.804 4.928
angles: 90.00 90.00 90.00
Element x y z (fractional)
Ca1 0.000 0.000 0.000
Pd1 0.500 0.500 0.500
S1 0.500 0.500 0.000
Cl1 0.000 0.500 0.500
Cl2 0.500 0.000 0.500

No. 11
First-principles (PBE-GGA) data for a geometry-optimized Mg2InPb6 structure, as listed in Alexandria.

Values from the calculation:
- Formation energy from the elements: 0.2 eV/f.u.
- Volume: 29.2 A^3/atom

abc: 6.466 6.466 9.744
angles: 121.30 121.30 52.22
Element x y z (fractional)
Mg1 0.059 0.059 0.215
Mg2 0.941 0.941 0.785
In1 0.500 0.500 0.000
Pb1 0.161 0.161 0.675
Pb2 0.266 0.266 0.102
Pb3 0.382 0.382 0.559
Pb4 0.618 0.618 0.441
Pb5 0.734 0.734 0.898
Pb6 0.839 0.839 0.325

No. 12
First-principles (PBE-GGA) data for a geometry-optimized RbCu2TeI6 structure, as listed in Alexandria.

Values from the calculation:
- Volume: 42.7 A^3/atom
- Energy relative to the elements, uncorrected: -30.4 kJ per mole of atoms

abc: 10.368 10.368 8.332
angles: 101.80 101.80 81.68
Element x y z (fractional)
Rb1 0.055 0.945 0.750
Rb2 0.945 0.055 0.250
Cu1 0.238 0.397 0.781
Cu2 0.397 0.238 0.281
Cu3 0.603 0.762 0.719
Cu4 0.762 0.603 0.219
Te1 0.234 0.766 0.250
Te2 0.766 0.234 0.750
I1 0.016 0.291 0.645
I2 0.123 0.638 0.906
I3 0.291 0.016 0.145
I4 0.292 0.412 0.497
I5 0.362 0.877 0.594
I6 0.412 0.292 0.997
I7 0.588 0.708 0.003
I8 0.638 0.123 0.406
I9 0.708 0.588 0.503
I10 0.709 0.984 0.855
I11 0.877 0.362 0.094
I12 0.984 0.709 0.355

Energy (eV/atom)
-2.157 -6.095 -5.866 -5.570 -3.992 -5.658 -6.994 -4.679 -8.532 -3.951 -3.104 -2.476